(1)
DFT (PBE-GGA) results for HfBeSbRh2 after structural relaxation.

Summary:
SG = P4/mmm
E_form (uncorrected) = -0.42 eV per formula unit

Geometry as POSCAR:
```
HfBeSbRh2
1.0
4.2081 0.0000 0.0000
0.0000 4.2081 0.0000
0.0000 0.0000 4.6533
Hf Be Sb Rh
1 1 1 2
Cartesian
0.0000 0.0000 0.0000
2.1040 2.1040 2.3266
2.1040 2.1040 0.0000
0.0000 2.1040 2.3266
2.1040 0.0000 2.3266
```



(2)
DFT (PBE-GGA) results for Hf2Be2SiRh5 after structural relaxation.

Summary:
SG = P4/mbm
E_form (uncorrected) = -9.08 eV per formula unit

Geometry as POSCAR:
```
Hf2Be2SiRh5
1.0
9.2197 0.0000 0.0000
0.0000 9.2197 0.0000
0.0000 0.0000 3.2330
Hf Be Si Rh
4 4 2 10
Cartesian
1.6087 3.0011 0.0000
3.0011 7.6110 0.0000
6.2186 1.6087 0.0000
7.6110 6.2186 0.0000
1.1300 5.7398 0.0000
3.4798 1.1300 0.0000
5.7398 8.0897 0.0000
8.0897 3.4798 0.0000
0.0000 0.0000 0.0000
4.6098 4.6098 0.0000
0.0000 4.6098 1.6165
0.6412 7.3197 1.6165
1.9000 0.6412 1.6165
2.7098 5.2511 1.6165
3.9686 2.7098 1.6165
4.6098 0.0000 1.6165
5.2511 6.5098 1.6165
6.5098 3.9686 1.6165
7.3197 8.5784 1.6165
8.5784 1.9000 1.6165
```



(3)
DFT (PBE-GGA) results for HfBeTcRh2 after structural relaxation.

Summary:
SG = P4/mmm
Calculated formation energy = 0.70 eV per atom

Geometry as POSCAR:
```
HfBeTcRh2
1.0
4.6745 0.0000 0.0000
0.0000 4.6745 0.0000
0.0000 0.0000 4.1080
Hf Be Tc Rh
1 1 1 2
Cartesian
0.0000 0.0000 0.0000
2.3373 2.3373 0.0000
2.3373 2.3373 2.0540
0.0000 2.3373 2.0540
2.3373 0.0000 2.0540
```



(4)
DFT (PBE-GGA) results for HfTi2Be2Rh5 after structural relaxation.

Summary:
SG = P4/mbm
Calculated formation energy = -0.74 eV per atom

Geometry as POSCAR:
```
HfTi2Be2Rh5
1.0
9.2881 0.0000 0.0000
0.0000 9.2881 0.0000
0.0000 0.0000 3.2540
Hf Ti Be Rh
2 4 4 10
Cartesian
0.0000 0.0000 0.0000
4.6441 4.6441 0.0000
1.6022 3.0418 0.0000
3.0418 7.6859 0.0000
6.2463 1.6022 0.0000
7.6859 6.2463 0.0000
1.1223 5.7664 0.0000
3.5217 1.1223 0.0000
5.7664 8.1658 0.0000
8.1658 3.5217 0.0000
0.0000 4.6441 1.6270
0.6992 7.3021 1.6270
1.9860 0.6992 1.6270
2.6581 5.3433 1.6270
3.9448 2.6581 1.6270
4.6441 0.0000 1.6270
5.3433 6.6300 1.6270
6.6300 3.9448 1.6270
7.3021 8.5889 1.6270
8.5889 1.9860 1.6270
```